This record from the Alexandria database describes an optimized crystal structure of GaNi6Au. The functional is PBE-GGA.

Cell: 7.255 10.330 10.330 Å, 90.00 90.00 90.00°
Space group Cmmm (No. 65)
Symmetry-distinct sites (fractional):
Ga 0.000 0.000 0.247 [4 per cell]
Ga 0.000 0.252 0.000 [4 per cell]
Ni 0.000 0.000 0.000 [2 per cell]
Ni 0.000 0.000 0.500 [2 per cell]
Ni 0.000 0.246 0.243 [8 per cell]
Ni 0.000 0.500 0.000 [2 per cell]
Ni 0.000 0.500 0.500 [2 per cell]
Ni 0.243 0.123 0.371 [16 per cell]
Ni 0.245 0.127 0.121 [16 per cell]
Au 0.000 0.253 0.500 [4 per cell]
Au 0.000 0.500 0.249 [4 per cell]

VASP energy, eV/atom: -5.21
Energy of formation, meV/atom: -85


This record from the Alexandria database describes an optimized crystal structure of Nb2NiIr. The functional is PBE-GGA.

Cell: 2.8117 2.8117 27.2986 Å, 90.00 90.00 120.00°
Space group R-3m (No. 166, hexagonal axes)
Symmetry-distinct sites (fractional):
Nb 0.0000 0.0000 0.2475 [6 per cell]
Ni 0.0000 0.0000 0.5000 [3 per cell]
Ir 0.0000 0.0000 0.0000 [3 per cell]

VASP energy, eV/atom: -8.75
Energy of formation, meV/atom: -59


This record from the Alexandria database describes an optimized crystal structure of Ca2LaPrAu4. The functional is PBE-GGA.

Cell: 5.2364 5.2364 25.6065 Å, 90.00 90.00 120.00°
Space group R-3m (No. 166, hexagonal axes)
Symmetry-distinct sites (fractional):
Ca 0.0000 0.0000 0.2494 [6 per cell]
La 0.0000 0.0000 0.0000 [3 per cell]
Pr 0.0000 0.0000 0.5000 [3 per cell]
Au 0.0000 0.0000 0.1253 [6 per cell]
Au 0.0000 0.0000 0.3754 [6 per cell]

VASP energy, eV/atom: -4.16
Energy of formation, meV/atom: -812


This record from the Alexandria database describes an optimized crystal structure of PuHCl4. The functional is PBE-GGA.

Cell: 6.260 18.435 7.194 Å, 90.00 94.47 90.00°
Space group C2/c (No. 15)
Symmetry-distinct sites (fractional):
Pu 0.000 0.055 0.250 [4 per cell]
H 0.000 0.346 0.750 [4 per cell]
Cl 0.222 0.342 0.864 [8 per cell]
Cl 0.230 0.049 0.584 [8 per cell]

VASP energy, eV/atom: -5.59